Entry 1:
{
  "formula": "ScHSe2",
  "functional": "PBE",
  "state": "optimized geometry",
  "magmom_total_mub_per_fu": 0.7,
  "relative_energy_mev_per_atom": 764,
  "spacegroup": "Fm-3m (225)",
  "lattice_angstrom": [[0.000, 3.280, 3.280], [3.280, 0.000, 3.280], [3.280, 3.280, 0.000]],
  "species": ["Sc", "H", "Se", "Se"],
  "frac_coords": [[0.000, 0.000, 0.000], [0.500, 0.500, 0.500], [0.250, 0.250, 0.250], [0.750, 0.750, 0.750]]
}

Entry 2:
{
  "formula": "ScSi2H",
  "functional": "PBE",
  "state": "optimized geometry",
  "magmom_total_mub_per_fu": 0.0,
  "relative_energy_mev_per_atom": 385,
  "spacegroup": "Fm-3m (225)",
  "lattice_angstrom": [[0.000, 3.122, 3.122], [3.122, 0.000, 3.122], [3.122, 3.122, 0.000]],
  "species": ["Sc", "Si", "Si", "H"],
  "frac_coords": [[0.000, 0.000, 0.000], [0.250, 0.250, 0.250], [0.750, 0.750, 0.750], [0.500, 0.500, 0.500]]
}

Entry 3:
{
  "formula": "ScSiH",
  "functional": "PBE",
  "state": "optimized geometry",
  "magmom_total_mub_per_fu": 0.0,
  "relative_energy_mev_per_atom": 0,
  "spacegroup": "P2_1/m (11)",
  "lattice_angstrom": [[3.703, 0.000, 0.000], [0.000, 3.719, 0.000], [-1.844, 0.000, 5.383]],
  "species": ["Sc", "Sc", "Si", "Si", "H", "H"],
  "frac_coords": [[0.150, 0.250, 0.301], [0.850, 0.750, 0.699], [0.435, 0.250, 0.870], [0.565, 0.750, 0.130], [0.252, 0.750, 0.506], [0.748, 0.250, 0.494]]
}

Entry 4:
{
  "formula": "ScSiH3",
  "functional": "PBE",
  "state": "optimized geometry",
  "magmom_total_mub_per_fu": 0.0,
  "relative_energy_mev_per_atom": 0,
  "spacegroup": "Pm-3m (221)",
  "lattice_angstrom": [[3.719, 0.000, 0.000], [0.000, 3.719, 0.000], [0.000, 0.000, 3.719]],
  "species": ["Sc", "Si", "H", "H", "H"],
  "frac_coords": [[0.000, 0.000, 0.000], [0.500, 0.500, 0.500], [0.000, 0.000, 0.500], [0.000, 0.500, 0.000], [0.500, 0.000, 0.000]]
}

Entry 5:
{
  "formula": "ScSi3H",
  "functional": "PBE",
  "state": "optimized geometry",
  "magmom_total_mub_per_fu": 1.0,
  "relative_energy_mev_per_atom": 1382,
  "spacegroup": "Pm-3m (221)",
  "lattice_angstrom": [[5.094, 0.000, 0.000], [0.000, 5.094, 0.000], [0.000, 0.000, 5.094]],
  "species": ["Sc", "Si", "Si", "Si", "H"],
  "frac_coords": [[0.000, 0.000, 0.000], [0.000, 0.000, 0.500], [0.000, 0.500, 0.000], [0.500, 0.000, 0.000], [0.500, 0.500, 0.500]]
}

Entry 6:
{
  "formula": "ScSiH",
  "functional": "PBE",
  "state": "optimized geometry",
  "magmom_total_mub_per_fu": 0.0,
  "relative_energy_mev_per_atom": 270,
  "spacegroup": "Pnma (62)",
  "lattice_angstrom": [[3.855, 0.000, 0.000], [0.000, 6.792, 0.000], [0.000, 0.000, 6.959]],
  "species": ["Sc", "Sc", "Sc", "Sc", "Si", "Si", "Si", "Si", "H", "H", "H", "H"],
  "frac_coords": [[0.000, 0.000, 0.000], [0.000, 0.500, 0.000], [0.500, 0.000, 0.500], [0.500, 0.500, 0.500], [0.000, 0.250, 0.348], [0.000, 0.750, 0.652], [0.500, 0.250, 0.152], [0.500, 0.750, 0.848], [0.003, 0.250, 0.859], [0.497, 0.750, 0.359], [0.503, 0.250, 0.641], [0.997, 0.750, 0.141]]
}

Entry 7:
{
  "formula": "ScSiH3",
  "functional": "PBE",
  "state": "optimized geometry",
  "magmom_total_mub_per_fu": 0.0,
  "relative_energy_mev_per_atom": 56,
  "spacegroup": "Pm-3m (221)",
  "lattice_angstrom": [[3.554, 0.000, 0.000], [0.000, 3.554, 0.000], [0.000, 0.000, 3.554]],
  "species": ["Sc", "Si", "H", "H", "H"],
  "frac_coords": [[0.000, 0.000, 0.000], [0.500, 0.500, 0.500], [0.000, 0.500, 0.500], [0.500, 0.000, 0.500], [0.500, 0.500, 0.000]]
}

Entry 8:
{
  "formula": "Sc6Si3H",
  "functional": "PBE",
  "state": "optimized geometry",
  "magmom_total_mub_per_fu": 0.0,
  "total_energy_ev_per_atom": -6.290,
  "spacegroup": "Cmc2_1 (36)",
  "lattice_angstrom": [[5.277, -6.257, 0.000], [5.277, 6.257, 0.000], [0.000, 0.000, 5.545]],
  "species": ["Sc", "Sc", "Sc", "Sc", "Sc", "Sc", "Sc", "Sc", "Sc", "Sc", "Sc", "Sc", "Si", "Si", "Si", "Si", "Si", "Si", "H", "H"],
  "frac_coords": [[0.089, 0.911, 0.500], [0.119, 0.531, 0.288], [0.232, 0.318, 0.827], [0.303, 0.697, 0.787], [0.318, 0.232, 0.327], [0.469, 0.881, 0.288], [0.531, 0.119, 0.788], [0.682, 0.768, 0.827], [0.697, 0.303, 0.287], [0.768, 0.682, 0.327], [0.881, 0.469, 0.788], [0.911, 0.089, 0.000], [0.006, 0.767, 0.996], [0.233, 0.994, 0.996], [0.484, 0.516, 0.093], [0.516, 0.484, 0.593], [0.767, 0.006, 0.496], [0.994, 0.233, 0.496], [0.253, 0.747, 0.441], [0.747, 0.253, 0.941]]
}

Entry 9:
{
  "formula": "ScSi2H",
  "functional": "PBE",
  "state": "optimized geometry",
  "magmom_total_mub_per_fu": 0.0,
  "relative_energy_mev_per_atom": 0,
  "spacegroup": "I4_1/amd (141)",
  "lattice_angstrom": [[-2.424, 2.424, 5.024], [2.424, -2.424, 5.024], [2.424, 2.424, -5.024]],
  "species": ["Sc", "Sc", "Si", "Si", "Si", "Si", "H", "H"],
  "frac_coords": [[0.375, 0.625, 0.750], [0.625, 0.375, 0.250], [0.000, 0.000, 0.000], [0.000, 0.000, 0.500], [0.000, 0.500, 0.000], [0.500, 0.000, 0.500], [0.125, 0.875, 0.250], [0.875, 0.125, 0.750]]
}

Entry 10:
{
  "formula": "ScSi3H",
  "functional": "PBE",
  "state": "optimized geometry",
  "magmom_total_mub_per_fu": 0.0,
  "relative_energy_mev_per_atom": 0,
  "spacegroup": "Pm-3m (221)",
  "lattice_angstrom": [[4.034, 0.000, 0.000], [0.000, 4.034, 0.000], [0.000, 0.000, 4.034]],
  "species": ["Sc", "Si", "Si", "Si", "H"],
  "frac_coords": [[0.000, 0.000, 0.000], [0.000, 0.500, 0.500], [0.500, 0.000, 0.500], [0.500, 0.500, 0.000], [0.500, 0.500, 0.500]]
}

Entry 11:
{
  "formula": "Sc2Si2H",
  "functional": "PBE",
  "state": "optimized geometry",
  "magmom_total_mub_per_fu": 0.0,
  "total_energy_ev_per_atom": -5.806,
  "spacegroup": "P4/mbm (127)",
  "lattice_angstrom": [[6.378, 0.000, 0.000], [0.000, 6.378, 0.000], [0.000, 0.000, 4.105]],
  "species": ["Sc", "Sc", "Sc", "Sc", "Si", "Si", "Si", "Si", "H", "H"],
  "frac_coords": [[0.175, 0.325, 0.000], [0.325, 0.825, 0.000], [0.675, 0.175, 0.000], [0.825, 0.675, 0.000], [0.128, 0.628, 0.500], [0.372, 0.128, 0.500], [0.628, 0.872, 0.500], [0.872, 0.372, 0.500], [0.000, 0.000, 0.000], [0.500, 0.500, 0.000]]
}

Entry 12:
{
  "formula": "ScSiH",
  "functional": "PBE",
  "state": "optimized geometry",
  "magmom_total_mub_per_fu": 0.0,
  "relative_energy_mev_per_atom": 127,
  "spacegroup": "P2_1/m (11)",
  "lattice_angstrom": [[6.263, 0.000, 0.000], [0.000, 3.437, 0.000], [-2.240, 0.000, 7.431]],
  "species": ["Sc", "Sc", "Sc", "Sc", "Si", "Si", "Si", "Si", "H", "H", "H", "H"],
  "frac_coords": [[0.199, 0.250, 0.135], [0.284, 0.750, 0.546], [0.716, 0.250, 0.454], [0.801, 0.750, 0.865], [0.082, 0.250, 0.737], [0.459, 0.250, 0.878], [0.541, 0.750, 0.122], [0.918, 0.750, 0.263], [0.124, 0.750, 0.993], [0.368, 0.250, 0.420], [0.632, 0.750, 0.580], [0.876, 0.250, 0.007]]
}